Arrangement 1

A plane-wave DFT calculation with GGA-PBEsol was carried out for crystalline Li2LaPt at its relaxed geometry.

a = 4.042 Å, b = 4.042 Å, c = 5.118 Å
α = 90.00°, β = 90.00°, γ = 90.00°
Atoms (fractional coordinates):
1 Li 0.500 0.000 0.000
2 Li 0.000 0.500 0.000
3 La 0.000 0.000 0.500
4 Pt 0.500 0.500 0.500

spin magnetization = 0.0 μB/f.u.

Arrangement 2

A plane-wave DFT calculation with GGA-PBEsol was carried out for crystalline Li2LaPt at its relaxed geometry.

a = 4.188 Å, b = 3.858 Å, c = 5.919 Å
α = 90.00°, β = 111.71°, γ = 90.00°
Atoms (fractional coordinates):
1 Li 0.975 0.000 0.072
2 La 0.264 0.500 0.647
3 Pt 0.714 0.000 0.553
4 Li 0.547 0.500 0.228

spin magnetization = 0.0 μB/f.u.

Arrangement 3

A plane-wave DFT calculation with GGA-PBEsol was carried out for crystalline Li2LaPt at its relaxed geometry.

a = 4.128 Å, b = 4.121 Å, c = 5.330 Å
α = 112.74°, β = 112.78°, γ = 90.00°
Atoms (fractional coordinates):
1 La 0.000 0.500 0.000
2 Li 0.750 0.750 0.499
3 Pt 0.500 0.000 0.000
4 Li 0.250 0.250 0.501

spin magnetization = 0.0 μB/f.u.

Arrangement 4

A plane-wave DFT calculation with GGA-PBEsol was carried out for crystalline Li2LaPt at its relaxed geometry.

a = 4.071 Å, b = 4.071 Å, c = 10.690 Å
α = 100.98°, β = 100.98°, γ = 90.00°
Atoms (fractional coordinates):
1 La 0.750 0.250 0.500
2 Pt 0.250 0.750 0.500
3 Li 0.125 0.703 0.750
4 Li 0.297 0.375 0.250
5 Li 0.953 0.875 0.250
6 La 0.500 0.500 0.000
7 Li 0.625 0.047 0.750
8 Pt 0.000 0.000 0.000

spin magnetization = 0.0 μB/f.u.

It is arrangement 3 that is most stable; the runner-up trails by 4.2 kJ/mol of atoms.

Arrangement 1

A plane-wave DFT calculation with GGA-PBEsol was carried out for crystalline Li2LaRh at its relaxed geometry.

a = 4.590 Å, b = 4.590 Å, c = 4.590 Å
α = 60.00°, β = 60.00°, γ = 60.00°
Atoms (fractional coordinates):
1 Li 0.250 0.250 0.250
2 Li 0.750 0.750 0.750
3 Rh 0.500 0.500 0.500
4 La 0.000 0.000 0.000

spin magnetization = 0.0 μB/f.u.

Arrangement 2

A plane-wave DFT calculation with GGA-PBEsol was carried out for crystalline Li2LaRh at its relaxed geometry.

a = 3.807 Å, b = 3.929 Å, c = 5.909 Å
α = 109.21°, β = 90.00°, γ = 90.00°
Atoms (fractional coordinates):
1 Li 0.000 0.985 0.095
2 Rh 0.000 0.705 0.535
3 Li 0.500 0.548 0.219
4 La 0.500 0.262 0.650

spin magnetization = 0.0 μB/f.u.

It is arrangement 2 that is most stable; the runner-up trails by 17.2 kJ/mol of atoms.

Arrangement 1

A plane-wave DFT calculation with GGA-PBEsol was carried out for crystalline LiLa3Ru at its relaxed geometry.

a = 5.489 Å, b = 5.489 Å, c = 5.489 Å
α = 90.00°, β = 90.00°, γ = 90.00°
Atoms (fractional coordinates):
1 La 0.000 0.500 0.000
2 La 0.000 0.000 0.500
3 Li 0.500 0.500 0.500
4 Ru 0.000 0.000 0.000
5 La 0.500 0.000 0.000

spin magnetization = 0.0 μB/f.u.

Arrangement 2

A plane-wave DFT calculation with GGA-PBEsol was carried out for crystalline LiLa3Ru at its relaxed geometry.

a = 6.029 Å, b = 6.344 Å, c = 7.678 Å
α = 90.00°, β = 90.00°, γ = 90.00°
Atoms (fractional coordinates):
1 La 0.750 0.138 0.000
2 Li 0.250 0.839 0.500
3 La 0.250 0.331 0.725
4 La 0.750 0.669 0.725
5 Ru 0.500 0.500 0.000
6 La 0.250 0.862 0.000
7 La 0.750 0.669 0.275
8 Ru 0.000 0.500 0.000
9 La 0.250 0.331 0.275
10 Li 0.750 0.161 0.500

spin magnetization = 0.0 μB/f.u.

It is arrangement 2 that is most stable; the runner-up trails by 8.3 kJ/mol of atoms.

Arrangement 1

A plane-wave DFT calculation with GGA-PBEsol was carried out for crystalline SrLi2La at its relaxed geometry.

a = 5.511 Å, b = 5.511 Å, c = 5.511 Å
α = 60.00°, β = 60.00°, γ = 60.00°
Atoms (fractional coordinates):
1 La 0.500 0.500 0.500
2 Sr 0.250 0.250 0.250
3 Li 0.750 0.750 0.750
4 Li 0.000 0.000 0.000

spin magnetization = 0.0 μB/f.u.

Arrangement 2

A plane-wave DFT calculation with GGA-PBEsol was carried out for crystalline SrLi2La at its relaxed geometry.

a = 3.677 Å, b = 5.766 Å, c = 6.777 Å
α = 115.18°, β = 105.74°, γ = 90.00°
Atoms (fractional coordinates):
1 Li 0.968 0.968 0.937
2 Sr 0.522 0.522 0.044
3 La 0.725 0.225 0.449
4 Li 0.285 0.785 0.570

spin magnetization = 0.0 μB/f.u.

It is arrangement 2 that is most stable; the runner-up trails by 10.6 kJ/mol of atoms.